Below is a relaxed CrCu2W crystal, with properties calculated at the PBE level.

Geometry as POSCAR:
```
CrCu2W
1.0
2.587 0.083 0.000
-0.070 2.588 0.000
0.000 0.000 7.828
Cr Cu W
1 2 1
direct
0.500 0.500 0.750 Cr
0.000 0.000 0.987 Cu
0.000 0.000 0.513 Cu
0.500 0.500 0.250 W
```

Summary:
offset from the most stable computed form: 14.8 kJ/mol of atoms
space group: Cmmm (65)